No. 1
Material: Zn2Pt2Au
Method: DFT, PBE
State: optimized geometry

## Properties
**Calculated volume**: 85.5 Å³ per cell
**Formation enthalpy at 0 K**: -9.7 kJ/mol of atoms
**Excess energy over the best structure of this formula in the dataset**: 270.3 meV/atom
**Size of the total moment**: 0.00 Bohr magnetons per cell

a b c (Å): 6.373 6.373 6.373
angles (deg): 144.83 144.83 50.59
Fractional coordinates of all 5 atoms:
Zn 0.104 0.104 0.000
Zn 0.896 0.896 0.000
Pt 0.250 0.750 0.500
Pt 0.750 0.250 0.500
Au 0.500 0.500 0.000

---

No. 2
Material: TcPIr
Method: DFT, PBE
State: optimized geometry

## Properties
**Calculated volume**: 44.4 Å³ per cell
**Formation enthalpy at 0 K**: -12.3 kJ/mol of atoms
**Excess energy over the best structure of this formula in the dataset**: 232.2 meV/atom
**Size of the total moment**: 0.00 Bohr magnetons per cell

a b c (Å): 3.704 4.375 4.375
angles (deg): 38.78 90.00 90.00
Fractional coordinates of all 3 atoms:
Tc 0.000 0.000 0.000
P 0.000 0.282 0.282
Ir 0.500 0.702 0.702

---

No. 3
Material: YCo2W2
Method: DFT, PBE
State: optimized geometry

## Properties
**Calculated volume**: 88.4 Å³ per cell
**Formation enthalpy at 0 K**: 29.7 kJ/mol of atoms
**Excess energy over the best structure of this formula in the dataset**: 2.4 meV/atom
**Size of the total moment**: 0.00 Bohr magnetons per cell

a b c (Å): 5.656 5.656 5.656
angles (deg): 135.26 135.26 65.13
Fractional coordinates of all 5 atoms:
Y 0.000 0.000 0.000
Co 0.250 0.750 0.500
Co 0.750 0.250 0.500
W 0.361 0.361 0.000
W 0.639 0.639 0.000

---

No. 4
Material: Dy7C2I12O
Method: DFT, PBE
State: optimized geometry

## Properties
**Calculated volume**: 1651.5 Å³ per cell
**Formation energy (no corrections)**: -1.44 eV/atom
**Size of the total moment**: 2.03 Bohr magnetons per cell

a b c (Å): 9.946 10.950 17.048
angles (deg): 102.34 92.67 113.04
Fractional coordinates of all 44 atoms:
Dy 0.024 0.445 0.187
Dy 0.046 0.259 0.688
Dy 0.143 0.455 0.980
Dy 0.166 0.553 0.387
Dy 0.221 0.753 0.159
Dy 0.368 0.878 0.358
Dy 0.435 0.574 0.238
Dy 0.565 0.426 0.762
Dy 0.632 0.122 0.642
Dy 0.779 0.247 0.841
Dy 0.834 0.447 0.613
Dy 0.857 0.545 0.020
Dy 0.954 0.741 0.312
Dy 0.976 0.555 0.813
C 0.135 0.678 0.283
C 0.254 0.639 0.265
C 0.746 0.361 0.735
C 0.865 0.322 0.717
I 0.046 0.163 0.851
I 0.059 0.735 0.700
I 0.105 0.397 0.549
I 0.160 0.017 0.409
I 0.190 0.787 0.973
I 0.226 0.306 0.108
I 0.286 0.527 0.815
I 0.324 0.157 0.666
I 0.378 0.804 0.520
I 0.403 0.435 0.372
I 0.447 0.040 0.230
I 0.463 0.672 0.076
I 0.537 0.328 0.924
I 0.553 0.960 0.770
I 0.597 0.565 0.628
I 0.622 0.196 0.480
I 0.676 0.843 0.334
I 0.714 0.473 0.185
I 0.774 0.694 0.892
I 0.810 0.213 0.027
I 0.840 0.983 0.591
I 0.895 0.603 0.451
I 0.941 0.265 0.300
I 0.954 0.837 0.149
O 0.057 0.547 0.082
O 0.943 0.453 0.918

---

No. 5
Material: Ca2MgNiH
Method: DFT, PBE
State: optimized geometry

## Properties
**Calculated volume**: 124.0 Å³ per cell
**Excess energy over the best structure of this formula in the dataset**: 699.1 meV/atom
**Size of the total moment**: 0.21 Bohr magnetons per cell

a b c (Å): 5.906 5.906 3.555
angles (deg): 90.00 90.00 90.00
Fractional coordinates of all 5 atoms:
Ca 0.000 0.500 0.000
Ca 0.500 0.000 0.000
Mg 0.000 0.000 0.000
Ni 0.500 0.500 0.500
H 0.000 0.000 0.500

---

No. 6
Material: TbHoInTc
Method: DFT, PBE
State: optimized geometry

## Properties
**Calculated volume**: 92.4 Å³ per cell
**Formation enthalpy at 0 K**: -14.3 kJ/mol of atoms
**Size of the total moment**: 0.00 Bohr magnetons per cell

a b c (Å): 5.074 5.074 5.074
angles (deg): 60.00 60.00 60.00
Fractional coordinates of all 4 atoms:
Tb 0.000 0.000 0.000
Ho 0.500 0.500 0.500
In 0.750 0.750 0.750
Tc 0.250 0.250 0.250

---

No. 7
Material: BaMg6Bi4
Method: DFT, PBE
State: optimized geometry

## Properties
**Calculated volume**: 343.9 Å³ per cell
**Formation enthalpy at 0 K**: -28.3 kJ/mol of atoms
**Size of the total moment**: 0.00 Bohr magnetons per cell

a b c (Å): 15.630 15.630 15.630
angles (deg): 162.53 162.53 24.80
Fractional coordinates of all 11 atoms:
Ba 0.000 0.000 0.000
Mg 0.120 0.620 0.500
Mg 0.250 0.750 0.500
Mg 0.380 0.880 0.500
Mg 0.620 0.120 0.500
Mg 0.750 0.250 0.500
Mg 0.880 0.380 0.500
Bi 0.185 0.185 0.000
Bi 0.440 0.440 0.000
Bi 0.560 0.560 0.000
Bi 0.815 0.815 0.000

---

No. 8
Material: CePaPb2
Method: DFT, PBE
State: optimized geometry

## Properties
**Calculated volume**: 116.5 Å³ per cell
**Formation enthalpy at 0 K**: -2.4 kJ/mol of atoms
**Excess energy over the best structure of this formula in the dataset**: 99.0 meV/atom
**Size of the total moment**: 3.55 Bohr magnetons per cell

a b c (Å): 5.481 5.481 5.481
angles (deg): 60.00 60.00 60.00
Fractional coordinates of all 4 atoms:
Ce 0.000 0.000 0.000
Pa 0.500 0.500 0.500
Pb 0.250 0.250 0.250
Pb 0.750 0.750 0.750

---

No. 9
Material: SbAsS2
Method: DFT, PBE
State: optimized geometry

## Properties
**Calculated volume**: 93.8 Å³ per cell
**Formation energy (no corrections)**: 0.04 eV/atom
**Excess energy over the best structure of this formula in the dataset**: 92.9 meV/atom
**Size of the total moment**: 0.00 Bohr magnetons per cell

a b c (Å): 8.665 8.665 8.665
angles (deg): 23.89 23.89 23.89
Fractional coordinates of all 4 atoms:
Sb 0.000 0.000 0.000
As 0.500 0.500 0.500
S 0.107 0.107 0.107
S 0.893 0.893 0.893

---

No. 10
Material: PrRe4B4
Method: DFT, PBE
State: optimized geometry

## Properties
**Calculated volume**: 239.7 Å³ per cell
**Formation enthalpy at 0 K**: -30.6 kJ/mol of atoms
**Size of the total moment**: 0.00 Bohr magnetons per cell

a b c (Å): 7.516 7.516 4.243
angles (deg): 90.00 90.00 90.00
Fractional coordinates of all 18 atoms:
Pr 0.250 0.250 0.250
Pr 0.750 0.750 0.750
Re 0.116 0.626 0.117
Re 0.126 0.884 0.617
Re 0.374 0.616 0.617
Re 0.384 0.874 0.117
Re 0.616 0.126 0.883
Re 0.626 0.384 0.383
Re 0.874 0.116 0.383
Re 0.884 0.374 0.883
B 0.059 0.922 0.121
B 0.078 0.559 0.621
B 0.422 0.941 0.621
B 0.441 0.578 0.121
B 0.559 0.422 0.879
B 0.578 0.059 0.379
B 0.922 0.441 0.379
B 0.941 0.078 0.879

---

No. 11
Material: Sc4Be
Method: DFT, PBE
State: optimized geometry

## Properties
**Calculated volume**: 117.6 Å³ per cell
**Formation enthalpy at 0 K**: 26.1 kJ/mol of atoms
**Excess energy over the best structure of this formula in the dataset**: 91.9 meV/atom
**Size of the total moment**: 0.00 Bohr magnetons per cell

a b c (Å): 4.899 4.899 4.899
angles (deg): 90.00 90.00 90.00
Fractional coordinates of all 5 atoms:
Sc 0.000 0.000 0.000
Sc 0.000 0.500 0.500
Sc 0.500 0.000 0.500
Sc 0.500 0.500 0.000
Be 0.500 0.500 0.500

---

No. 12
Material: Pu3Zn4Si4
Method: DFT, PBE
State: optimized geometry

## Properties
**Calculated volume**: 201.2 Å³ per cell
**Formation energy (no corrections)**: -0.30 eV/atom
**Size of the total moment**: 5.32 Bohr magnetons per cell

a b c (Å): 8.037 8.037 8.037
angles (deg): 148.66 131.30 59.06
Fractional coordinates of all 11 atoms:
Pu 0.000 0.000 0.000
Pu 0.375 0.875 0.500
Pu 0.625 0.125 0.500
Zn 0.026 0.334 0.692
Zn 0.358 0.666 0.692
Zn 0.642 0.334 0.308
Zn 0.974 0.666 0.308
Si 0.215 0.215 0.000
Si 0.315 0.500 0.815
Si 0.685 0.500 0.185
Si 0.785 0.785 0.000

---

no.,uncorrected energy (eV per formula unit)
1,-18.4
2,-25.0
3,-45.0
4,-105.8
5,-11.7
6,-22.9
7,-30.2
8,-22.9
9,-16.9
10,-84.1
11,-27.7
12,-73.1